Entry from Alexandria: crystalline KBa2LiGe at its relaxed geometry (PBE).

final energy = -2.4021 eV/atom
N(E_F) = 0.609 states/eV/atom
DFT formation energy = -0.536 eV/f.u.
total moment = 0.0 Bohr magnetons per cell

Lattice parameters (Å, degrees): 6.662 6.662 5.306 90.00 90.00 90.00
Space group P4/mmm (No. 123)
Asymmetric unit:
K1 0.000 0.000 0.000 (multiplicity 1)
Ba1 0.000 0.500 0.500 (multiplicity 2)
Li1 0.500 0.500 0.000 (multiplicity 1)
Ge1 0.500 0.500 0.500 (multiplicity 1)